No. 1
An optimized crystal structure of CrSe4Br, computed with GGA-PBE.

## Properties
The calculation puts the size of the total moment at 0.562 μB/atom. The value obtained for the final energy is -3.63 eV/atom.

abc: 8.1159 8.1159 8.1159
angles: 90.00 90.00 90.00
With the nearest neighbours (Å) after each atom.
Space group F-43m (No. 216)
Unique sites:
Cr (0.0000, 0.0000, 0.0000) (multiplicity 4)  12 Se 3.36, 4 Br 3.51
Se (0.1254, 0.1254, 0.6254) (multiplicity 16)  6 Se 2.86-2.88
Br (0.2500, 0.2500, 0.2500) (multiplicity 4)  12 Se 3.37, 4 Cr 3.51

---

No. 2
An optimized crystal structure of CrSe2Br, computed with GGA-PBE.

## Properties
The calculation puts the size of the total moment at 0.790 μB/atom. The energy above the lowest structure with this stoichiometry comes out at 0.139 eV per atom. The value obtained for the final energy is -4.79 eV/atom.

abc: 3.5329 4.7682 13.7442
angles: 90.00 90.00 90.00
With the nearest neighbours (Å) after each atom.
Space group Imm2 (No. 44)
Unique sites:
Cr (0.0000, 0.0000, 0.0000) (multiplicity 2)  2 Se 2.50, 2 Br 2.55
Se (0.0000, 0.0000, 0.5538) (multiplicity 2)  2 Se 2.60
Se (0.0000, 0.5000, 0.6286) (multiplicity 2)  2 Cr 2.50, 2 Se 2.60
Br (0.0000, 0.5000, 0.3665) (multiplicity 2)  2 Cr 2.55

---

No. 3
An optimized crystal structure of Cr2SeBr, computed with GGA-PBE.

## Properties
The calculation puts the size of the total moment at 2.237 μB/atom. The energy above the lowest structure with this stoichiometry comes out at 0.314 eV per atom. The value obtained for the final energy is -5.87 eV/atom.

abc: 4.8380 4.8380 3.4008
angles: 90.00 90.00 90.00
With the nearest neighbours (Å) after each atom.
Space group P4/mmm (No. 123)
Unique sites:
Cr (0.0000, 0.5000, 0.0000) (multiplicity 2)  4 Se 2.96, 4 Br 2.96
Se (0.0000, 0.0000, 0.5000) (multiplicity 1)  8 Cr 2.96
Br (0.5000, 0.5000, 0.5000) (multiplicity 1)  8 Cr 2.96

---

> size of the total moment of number 3 (Cr2SeBr)?

2.237 μB/atom